# 1
Density functional theory data (GGA-PBEsol) for TaSbOsI2 after structural relaxation.

Results
* uncorrected formation energy: 2290 meV per atom
* magnetization: 4.21 μB/f.u.

Cell: 4.920 5.729 5.729 Å, 90.00 90.00 90.00°
Fractional coordinates of all 5 atoms:
Ta 0.500 0.500 0.500
Os 0.500 0.000 0.000
Sb 0.000 0.000 0.000
I 0.000 0.000 0.500
I 0.000 0.500 0.000

# 2
Density functional theory data (GGA-PBEsol) for SbTe2OsI after structural relaxation.

Results
* uncorrected formation energy: 2266 meV per atom
* magnetization: 3.83 μB/f.u.

Cell: 5.603 5.603 5.708 Å, 90.00 90.00 90.00°
Fractional coordinates of all 5 atoms:
I 0.000 0.000 0.000
Te 0.500 0.000 0.000
Te 0.000 0.500 0.000
Sb 0.000 0.000 0.500
Os 0.500 0.500 0.500

# 3
Density functional theory data (GGA-PBEsol) for Sb2TeOsI after structural relaxation.

Results
* uncorrected formation energy: 2334 meV per atom
* magnetization: 2.86 μB/f.u.

Cell: 5.533 5.630 5.630 Å, 90.00 90.00 90.00°
Fractional coordinates of all 5 atoms:
Os 0.500 0.500 0.500
Sb 0.000 0.000 0.500
Te 0.500 0.000 0.000
Sb 0.000 0.500 0.000
I 0.000 0.000 0.000

# 4
Density functional theory data (GGA-PBEsol) for ScOsI3 after structural relaxation.

Results
* uncorrected formation energy: 594 meV per atom
* magnetization: 0.44 μB/f.u.

Cell: 5.263 5.263 5.263 Å, 90.00 90.00 90.00°
Fractional coordinates of all 5 atoms:
Os 0.000 0.000 0.000
I 0.000 0.000 0.500
Sc 0.500 0.500 0.500
I 0.500 0.000 0.000
I 0.000 0.500 0.000

# 5
Density functional theory data (GGA-PBEsol) for ScTe2OsI after structural relaxation.

Results
* uncorrected formation energy: 509 meV per atom
* magnetization: 0.00 μB/f.u.

Cell: 5.161 5.161 5.291 Å, 90.00 90.00 90.00°
Fractional coordinates of all 5 atoms:
Te 0.500 0.000 0.000
Os 0.000 0.000 0.000
Te 0.000 0.500 0.000
Sc 0.500 0.500 0.500
I 0.000 0.000 0.500

# 6
Density functional theory data (GGA-PBEsol) for OsSeI3 after structural relaxation.

Results
* uncorrected formation energy: 1628 meV per atom
* magnetization: 4.51 μB/f.u.

Cell: 5.575 5.575 5.575 Å, 90.00 90.00 90.00°
Fractional coordinates of all 5 atoms:
I 0.000 0.500 0.000
Se 0.000 0.000 0.000
I 0.000 0.000 0.500
Os 0.500 0.500 0.500
I 0.500 0.000 0.000

# 7
Density functional theory data (GGA-PBEsol) for Si3OsI after structural relaxation.

Results
* uncorrected formation energy: 2632 meV per atom
* magnetization: 2.22 μB/f.u.

Cell: 4.984 4.984 4.984 Å, 90.00 90.00 90.00°
Fractional coordinates of all 5 atoms:
I 0.000 0.000 0.000
Si 0.000 0.500 0.000
Si 0.000 0.000 0.500
Os 0.500 0.500 0.500
Si 0.500 0.000 0.000

# 8
Density functional theory data (GGA-PBEsol) for SiOsI3 after structural relaxation.

Results
* uncorrected formation energy: 1524 meV per atom
* magnetization: 4.80 μB/f.u.

Cell: 5.437 5.437 5.437 Å, 90.00 90.00 90.00°
Fractional coordinates of all 5 atoms:
Si 0.000 0.000 0.000
I 0.500 0.000 0.000
Os 0.500 0.500 0.500
I 0.000 0.000 0.500
I 0.000 0.500 0.000